Compound: K4Ce3AlSe8
Source: the Alexandria database
Functional: PBE
Structure: relaxed

The structure in extended XYZ format:
```
16
Lattice="-0.3403 7.6622 3.8018 -6.4138 2.6348 -5.8844 -1.3929 -7.1079 4.5632" Properties=species:S:1:pos:R:3 pbc="T T T"
Ce -3.9034 -2.2365 -0.6606
Ce -3.3771 5.1485 -1.0413
Ce -4.0735 1.5946 1.2403
K 0.0000 0.0000 0.0000
K -0.8666 0.2772 4.1825
K -0.1702 3.8311 1.9009
K -0.6965 -3.5539 2.2816
Al -3.2069 1.3174 -2.9422
Se -5.4884 4.1521 0.7779
Se -2.2430 6.5944 1.2880
Se -6.0857 0.6828 3.2210
Se -5.1628 0.3860 -1.2401
Se -2.9842 2.8032 3.7207
Se -5.9041 -3.4053 1.1926
Se -2.6587 -0.9629 1.7027
Se -2.0614 2.5064 -0.7404
```

## Properties
Space group: R-3m
Uncorrected energy: -4.84 eV per atom
M_tot: 0.163 μB/atom



Compound: Ca4Ag2N
Source: the Alexandria database
Functional: PBE
Structure: relaxed

The structure in extended XYZ format:
```
7
Lattice="3.8388 0.0000 0.0000 0.0000 6.3826 0.5575 -1.9194 -2.5084 7.1212" Properties=species:S:1:pos:R:3 pbc="T T T"
Ag 0.0000 0.9334 3.7298
Ag 1.9194 2.9409 3.9489
Ca 1.9194 -0.8910 5.3096
Ca 0.0000 4.7652 2.3691
Ca 0.0000 2.6405 6.5424
Ca 1.9194 1.2338 1.1363
N 0.0000 0.0000 0.0000
```

## Properties
Space group: C2/m
Uncorrected energy: -3.55 eV per atom
M_tot: 0.000 μB/atom



Compound: BaLi2Zn
Source: the Alexandria database
Functional: PBE
Structure: relaxed

The structure in extended XYZ format:
```
4
Lattice="6.2059 -0.0314 -0.0090 2.4024 5.7222 0.0090 -3.5550 -3.9786 3.1697" Properties=species:S:1:pos:R:3 pbc="T T T"
Ba 1.5758 2.2944 1.5894
Li 8.1488 5.3869 0.0000
Li 4.7638 3.1492 0.0000
Zn 3.4776 -0.5823 1.5803
```

## Properties
Space group: Immm
Formation energy from the elements: 0.002 eV/atom
M_tot: 0.000 μB/atom



Compound: AcInAu
Source: the Alexandria database
Functional: PBE
Structure: relaxed

The structure in extended XYZ format:
```
6
Lattice="-2.9120 2.6665 -2.7944 -1.6095 -2.8708 -5.2488 -6.3367 -1.4866 0.9982" Properties=species:S:1:pos:R:3 pbc="T T T"
Au -7.8832 -0.6213 -4.9380
Au -2.9750 -1.0696 -2.1071
In -3.4083 1.4029 -3.4829
In -7.4499 -3.0938 -3.5621
Ac -6.2967 -0.1791 -1.9825
Ac -4.5615 -1.5118 -5.0625
```

## Properties
Space group: C2/m
Formation energy from the elements: -0.666 eV/atom
M_tot: 0.000 μB/atom



Compound: Tm2MnFeGe2
Source: the Alexandria database
Functional: PBE
Structure: relaxed

The structure in extended XYZ format:
```
12
Lattice="-4.9175 2.2046 1.2275 -2.5054 -4.6070 -1.7625 4.1205 -1.5139 6.7828" Properties=species:S:1:pos:R:3 pbc="T T T"
Tm 1.4974 -2.3582 4.0355
Tm -4.7998 -1.5580 2.2122
Tm -2.2050 -3.5634 3.7658
Tm -1.0974 -0.3528 2.4820
Ge -2.4006 -2.3488 0.8688
Ge -0.9018 -1.5674 5.3789
Ge -3.5887 1.0490 2.3593
Ge 0.2863 -4.9652 3.8884
Mn -0.6263 -1.1517 -0.4406
Mn -1.8790 -3.4552 -1.3219
Fe -4.3378 -2.3529 -0.7081
Fe -3.0851 -0.0494 0.1731
```

## Properties
Space group: Ibam
Formation energy from the elements: -0.529 eV/atom
M_tot: 0.538 μB/atom



Compound: PuGa3PdPt
Source: the Alexandria database
Functional: PBE
Structure: relaxed

The structure in extended XYZ format:
```
12
Lattice="5.6057 0.0000 0.0000 0.0000 5.8546 0.0000 0.0000 -2.9273 6.8431" Properties=species:S:1:pos:R:3 pbc="T T T"
Pd 1.4014 0.0000 4.6412
Pd 4.2043 2.9273 2.2019
Pt 1.4014 2.9273 5.4950
Pt 4.2043 0.0000 1.3481
Pu 1.4014 2.9273 2.7331
Pu 4.2043 0.0000 4.1099
Ga 1.4014 0.0000 1.9759
Ga 0.0000 4.1909 0.0000
Ga 4.2043 2.9273 4.8671
Ga 2.8029 1.6637 0.0000
Ga 2.8029 4.1909 0.0000
Ga 0.0000 1.6637 0.0000
```

## Properties
Space group: Cmcm
Formation energy from the elements: -0.411 eV/atom
M_tot: 0.889 μB/atom



Compound: NaCo3Au
Source: the Alexandria database
Functional: PBE
Structure: relaxed

The structure in extended XYZ format:
```
5
Lattice="4.7983 0.0000 0.0000 0.0000 4.7983 0.0000 0.0000 0.0000 4.7983" Properties=species:S:1:pos:R:3 pbc="T T T"
Co 0.0000 2.3991 0.0000
Co 2.3991 0.0000 0.0000
Co 0.0000 0.0000 2.3991
Au 0.0000 0.0000 0.0000
Na 2.3991 2.3991 2.3991
```

## Properties
Space group: Pm-3m
Formation energy from the elements: 1.230 eV/atom
M_tot: 1.235 μB/atom



Compound: Ba2GePb
Source: the Alexandria database
Functional: PBE
Structure: relaxed

The structure in extended XYZ format:
```
8
Lattice="-3.3294 -5.5516 2.6285 6.9598 -0.3910 1.2193 -3.1909 4.5132 4.4298" Properties=species:S:1:pos:R:3 pbc="T T T"
Ba -1.6688 -1.8159 6.4862
Ba -2.6116 1.6374 4.6683
Ba 3.0778 -1.2216 3.1533
Ba -2.6915 -4.0272 3.3483
Pb 0.7294 -3.6309 4.4712
Pb -0.4766 -0.8911 3.1587
Ge 1.9830 -1.7231 6.3323
Ge 0.8605 0.5170 5.4175
```

## Properties
Space group: P1
Formation energy from the elements: -0.497 eV/atom
M_tot: 0.000 μB/atom



What did the fifth record say?
Compound: Tm2MnFeGe2
Source: the Alexandria database
Functional: PBE
Structure: relaxed

The structure in extended XYZ format:
```
12
Lattice="-4.9175 2.2046 1.2275 -2.5054 -4.6070 -1.7625 4.1205 -1.5139 6.7828" Properties=species:S:1:pos:R:3 pbc="T T T"
Tm 1.4974 -2.3582 4.0355
Tm -4.7998 -1.5580 2.2122
Tm -2.2050 -3.5634 3.7658
Tm -1.0974 -0.3528 2.4820
Ge -2.4006 -2.3488 0.8688
Ge -0.9018 -1.5674 5.3789
Ge -3.5887 1.0490 2.3593
Ge 0.2863 -4.9652 3.8884
Mn -0.6263 -1.1517 -0.4406
Mn -1.8790 -3.4552 -1.3219
Fe -4.3378 -2.3529 -0.7081
Fe -3.0851 -0.0494 0.1731
```

## Properties
Space group: Ibam
Formation energy from the elements: -0.529 eV/atom
M_tot: 0.538 μB/atom